No. 1
NaPbBr3: relaxed, GGA-PBE.

Results
Uncorrected formation energy = -968 meV per atom
V = 209.4 Å³/f.u.
Energy = -14.89 eV per cell

POSCAR file:
```
NaPbBr3
1.0
5.938 0.000 0.000
0.000 5.938 0.000
0.000 0.000 5.938
Na Pb Br
1 1 3
Cartesian
0.000 0.000 0.000
2.969 2.969 2.969
0.000 2.969 2.969
2.969 0.000 2.969
2.969 2.969 0.000
```

=====

No. 2
HgHS2N: relaxed, GGA-PBE.

Results
Offset from the most stable computed form = 708 meV/atom
V = 118.0 Å³/f.u.
Energy = -10.40 eV per cell

POSCAR file:
```
HgHS2N
1.0
5.172 0.000 0.000
0.000 5.172 0.000
0.000 0.000 4.411
Hg H S N
1 1 2 1
Cartesian
0.000 0.000 0.000
2.586 2.586 2.205
0.000 2.586 0.000
2.586 0.000 0.000
0.000 0.000 2.205
```

=====

No. 3
GeTe2IF: relaxed, GGA-PBE.

Results
Uncorrected formation energy = 78 meV per atom
Offset from the most stable computed form = 0 meV/atom
V = 141.6 Å³/f.u.
Energy = -13.93 eV per cell

POSCAR file:
```
GeTe2IF
1.0
4.700 0.000 0.000
0.000 4.700 0.000
0.000 0.000 6.410
Ge Te I F
1 2 1 1
Cartesian
0.000 0.000 0.000
0.000 2.350 3.205
2.350 0.000 3.205
2.350 2.350 0.000
2.350 2.350 3.205
```

=====

No. 4
Fe2Mo3: relaxed, GGA-PBE.

Results
DFT formation energy = 0.251 eV/atom
Offset from the most stable computed form = 0 meV/atom
V = 70.1 Å³/f.u.
Energy = -96.33 eV per cell

POSCAR file:
```
Fe2Mo3
1.0
0.000 6.409 2.365
4.624 0.000 2.365
4.624 6.409 0.000
Fe Mo
4 6
Cartesian
4.862 3.823 2.365
6.697 7.028 3.548
4.385 8.995 2.365
7.174 12.199 3.548
4.121 1.371 2.173
1.809 1.833 0.990
2.814 4.576 0.990
4.624 6.409 2.152
6.936 9.613 3.335
5.126 11.447 2.173
```

=====

No. 5
LiBe2Ni: relaxed, GGA-PBE.

Results
DFT formation energy = -0.021 eV/atom
V = 39.8 Å³/f.u.
Energy = -15.23 eV per cell

POSCAR file:
```
LiBe2Ni
1.0
3.883 -1.193 0.000
3.883 1.193 0.000
-0.632 0.000 4.294
Li Be Ni
1 2 1
Cartesian
0.000 0.000 0.000
1.394 0.000 3.063
5.739 0.000 1.231
3.566 0.000 2.147
```

=====

No. 6
Ca3Al2Ga3: relaxed, GGA-PBE.

Results
DFT formation energy = -0.449 eV/atom
Offset from the most stable computed form = 0 meV/atom
V = 184.5 Å³/f.u.
Energy = -52.33 eV per cell

POSCAR file:
```
Ca3Al2Ga3
1.0
2.247 -5.495 0.000
2.247 5.495 0.000
0.000 0.000 14.942
Ca Al Ga
6 4 6
Cartesian
2.247 4.578 9.140
2.247 4.578 13.273
2.247 1.442 11.206
2.247 -1.442 3.735
2.247 -4.578 1.669
2.247 -4.578 5.802
2.247 3.163 1.408
2.247 3.163 6.063
2.247 -3.163 8.879
2.247 -3.163 13.533
2.247 1.814 3.735
2.247 1.226 8.010
2.247 1.226 14.403
2.247 -1.226 0.539
2.247 -1.226 6.932
2.247 -1.814 11.206
```

=====

| no. | spin magnetization (μB/f.u.) |
| --- | --- |
| 1 | 0.00 |
| 2 | 4.77 |
| 3 | 0.00 |
| 4 | 2.13 |
| 5 | 0.00 |
| 6 | 0.00 |